SiWAu2 | GGA-PBE | relaxed

Values from the calculation:
E_tot (eV per atom): -5.738
Fermi-level density of states (states/eV per cell): 3.363
SG: I4/mmm, No. 139
Energy relative to the elements, uncorrected (eV per formula unit): 1.979

Cell lengths 5.282, 5.282, 5.282 Å; angles 137.64, 137.64, 61.45 degrees
Atoms (fractional coordinates):
Si 0.000 0.000 0.000
W 0.500 0.500 0.000
Au 0.250 0.750 0.500
Au 0.750 0.250 0.500